DFT (PBEsol) results for an optimized crystal structure of LaInCo2.

Values from the calculation:
VASP energy in eV/atom: -5.9046
DOS at the Fermi energy in states/eV per atom: 1.095
Energy of formation from the pure elements in kJ per mole of atoms: 4.5

a = 3.0989 Å, b = 3.0989 Å, c = 7.4269 Å
α = 90.00°, β = 90.00°, γ = 90.00°
With the nearest neighbours (Å) after each atom.
Space group P4mm (No. 99)
Unique sites:
La1 0.0000 0.0000 0.0000  5 Co 2.99-3.06, 4 La 3.10
In1 0.5000 0.5000 0.6399  5 Co 2.71-2.77
Co1 0.0000 0.0000 0.4114  4 Co 2.41
Co2 0.5000 0.5000 0.2748  4 Co 2.41

=====

DFT (PBEsol) results for an optimized crystal structure of LaInCo2.

Values from the calculation:
VASP energy in eV/atom: -6.0528
DOS at the Fermi energy in states/eV per atom: 1.024
Energy of formation from the pure elements in kJ per mole of atoms: -9.8

a = 3.9472 Å, b = 3.9472 Å, c = 17.7236 Å
α = 90.00°, β = 90.00°, γ = 120.00°
With the nearest neighbours (Å) after each atom.
Space group R3m (No. 160, hexagonal axes)
Unique sites:
La1 0.0000 0.0000 0.0000  6 Co 2.97-2.98
In1 0.0000 0.0000 0.8106  6 Co 2.69-2.70
Co1 0.0000 0.0000 0.2262  3 Co 2.28
Co2 0.0000 0.0000 0.5582  3 Co 2.28

=====

DFT (PBEsol) results for an optimized crystal structure of RbLaIn2Co.

Values from the calculation:
VASP energy in eV/atom: -3.6900
DOS at the Fermi energy in states/eV per atom: 1.090
Energy of formation from the pure elements in kJ per mole of atoms: 31.3

a = 5.0133 Å, b = 5.0133 Å, c = 5.2969 Å
α = 90.00°, β = 90.00°, γ = 90.00°
With the nearest neighbours (Å) after each atom.
Space group P4/mmm (No. 123)
Unique sites:
Rb1 0.0000 0.0000 0.0000  2 Co 2.65
La1 0.5000 0.5000 0.0000  4 Rb 3.54, 8 In 3.65
In1 0.0000 0.5000 0.5000  2 Co 2.51
Co1 0.0000 0.0000 0.5000  4 In 2.51, 2 Rb 2.65

=====

DFT (PBEsol) results for an optimized crystal structure of Li2InCo.

Values from the calculation:
VASP energy in eV/atom: -3.5888
DOS at the Fermi energy in states/eV per atom: 0.472
Energy of formation from the pure elements in kJ per mole of atoms: 7.2

a = 3.0837 Å, b = 3.0837 Å, c = 6.2526 Å
α = 90.00°, β = 90.00°, γ = 90.00°
With the nearest neighbours (Å) after each atom.
Space group P4mm (No. 99)
Unique sites:
Li1 0.0000 0.0000 0.0000  4 Li 2.73, 4 In 2.87, 1 Co 2.96
Li2 0.5000 0.5000 0.2621  4 Co 2.55, 4 Li 2.73, 1 In 2.75
In1 0.5000 0.5000 0.7026  4 Co 2.61, 5 Li 2.75-2.87
Co1 0.0000 0.0000 0.4733  4 Li 2.55, 4 In 2.61